A plane-wave DFT calculation with PBE-GGA was carried out for a geometry-optimized FeAsSe2N structure.

Properties
Formation energy without anion corrections, eV/f.u.: 6.780
Space group: No. 123
ΔE to the lowest computed polymorph, meV/atom: 992

The structure in extended XYZ format:
```
5
Lattice="4.7888 0.0000 0.0000 0.0000 4.7888 0.0000 0.0000 0.0000 4.6581" Properties=species:S:1:pos:R:3 pbc="T T T"
Fe 0.0000 0.0000 0.0000
As 0.0000 0.0000 2.3291
Se 0.0000 2.3944 0.0000
Se 2.3944 0.0000 0.0000
N 2.3944 2.3944 2.3291
```

=====

A plane-wave DFT calculation with PBE-GGA was carried out for a geometry-optimized LiTbEr2Cd4 structure.

Properties
Formation energy from the elements, eV per formula unit: -2.18
Space group: No. 166

The structure in extended XYZ format:
```
8
Lattice="2.5864 1.4933 8.4966 -2.5864 1.4933 8.4966 0.0000 -2.9866 8.4966" Properties=species:S:1:pos:R:3 pbc="T T T"
Li 0.0000 0.0000 0.0000
Tb 0.0000 0.0000 12.7450
Er 0.0000 0.0000 6.4113
Er 0.0000 0.0000 19.0786
Cd 0.0000 0.0000 3.0424
Cd 0.0000 0.0000 9.5129
Cd 0.0000 0.0000 15.9770
Cd 0.0000 0.0000 22.4475
```

=====

A plane-wave DFT calculation with PBE-GGA was carried out for a geometry-optimized NdGdCd4 structure.

Properties
Formation energy from the elements, eV per formula unit: -1.76
Space group: No. 216

The structure in extended XYZ format:
```
6
Lattice="0.0000 4.2239 4.2239 4.2239 0.0000 4.2239 4.2239 4.2239 0.0000" Properties=species:S:1:pos:R:3 pbc="T T T"
Nd 0.0000 0.0000 0.0000
Gd 6.3359 6.3359 6.3359
Cd 3.1672 3.1672 3.1672
Cd 5.2806 5.2806 3.1672
Cd 5.2806 3.1672 5.2806
Cd 3.1672 5.2806 5.2806
```

=====

A plane-wave DFT calculation with PBE-GGA was carried out for a geometry-optimized Zr5OsRh2 structure.

Properties
Formation energy from the elements, eV per formula unit: -4.04
Space group: No. 140

The structure in extended XYZ format:
```
16
Lattice="-3.3774 3.3774 6.9671 3.3774 -3.3774 6.9671 3.3774 3.3774 -6.9671" Properties=species:S:1:pos:R:3 pbc="T T T"
Zr 0.0000 0.0000 0.0000
Zr 4.5218 1.1444 -2.1332
Zr 1.1444 2.2331 -2.1332
Zr 4.5218 1.1444 2.1332
Zr 1.1444 2.2331 2.1332
Zr 0.0000 0.0000 6.9671
Zr 2.2331 1.1444 4.8339
Zr -1.1444 2.2331 4.8339
Zr 2.2331 1.1444 9.1003
Zr -1.1444 2.2331 9.1003
Os 0.0000 0.0000 3.4836
Os 0.0000 0.0000 10.4507
Rh 2.4549 0.9225 0.0000
Rh 2.4549 -0.9225 6.9671
Rh 0.9225 4.2999 0.0000
Rh 0.9225 2.4549 6.9671
```

=====

A plane-wave DFT calculation with PBE-GGA was carried out for a geometry-optimized Mg2OsRu structure.

Properties
Formation energy from the elements, eV per formula unit: 0.58
Space group: No. 8
ΔE to the lowest computed polymorph, meV/atom: 139

The structure in extended XYZ format:
```
4
Lattice="4.9994 -1.4462 0.0000 4.9994 1.4462 0.0000 -1.4999 0.0000 4.4288" Properties=species:S:1:pos:R:3 pbc="T T T"
Mg 0.0000 0.0000 0.0000
Mg 1.1463 0.0000 3.0467
Os 7.2079 0.0000 0.9491
Ru 3.9520 0.0000 2.0970
```

=====

A plane-wave DFT calculation with PBE-GGA was carried out for a geometry-optimized Pa2AgAu structure.

Properties
Formation energy from the elements, eV per formula unit: 0.52
Space group: No. 225
ΔE to the lowest computed polymorph, meV/atom: 171

The structure in extended XYZ format:
```
4
Lattice="0.0000 3.6114 3.6114 3.6114 0.0000 3.6114 3.6114 3.6114 0.0000" Properties=species:S:1:pos:R:3 pbc="T T T"
Pa 1.8057 1.8057 1.8057
Pa 5.4172 5.4172 5.4172
Ag 0.0000 0.0000 0.0000
Au 3.6114 3.6114 3.6114
```

=====

A plane-wave DFT calculation with PBE-GGA was carried out for a geometry-optimized Pa3CdN2O6 structure.

Properties
Formation energy without anion corrections, eV/f.u.: -28.530
Space group: No. 12

The structure in extended XYZ format:
```
12
Lattice="5.6450 -3.5482 0.0000 5.6450 3.5482 0.0000 -0.0237 0.0000 4.7923" Properties=species:S:1:pos:R:3 pbc="T T T"
Pa 0.0000 0.0000 0.0000
Pa 2.8106 1.7741 2.3962
Pa 2.8106 -1.7741 2.3962
Cd 5.6331 0.0000 2.3962
N 1.8760 0.0000 3.4899
N 9.3902 0.0000 1.3025
O 4.6333 1.9467 3.6141
O 6.6329 1.9467 1.1783
O 3.6782 0.0000 1.4392
O 7.5880 0.0000 3.3532
O 4.6333 -1.9467 3.6141
O 6.6329 -1.9467 1.1783
```

=====

A plane-wave DFT calculation with PBE-GGA was carried out for a geometry-optimized Na2EuH structure.

Properties
DFT total energy, eV per atom: -3.979
Space group: No. 166

The structure in extended XYZ format:
```
4
Lattice="1.7735 1.0239 10.1131 -1.7735 1.0239 10.1131 0.0000 -2.0479 10.1131" Properties=species:S:1:pos:R:3 pbc="T T T"
Na 0.0000 0.0000 3.6160
Na 0.0000 0.0000 26.7232
Eu 0.0000 0.0000 0.0000
H 0.0000 0.0000 15.1696
```

=====

A plane-wave DFT calculation with PBE-GGA was carried out for a geometry-optimized Zn2AsIF structure.

Properties
Formation energy without anion corrections, eV/f.u.: 0.051
Space group: No. 123

The structure in extended XYZ format:
```
5
Lattice="4.2872 0.0000 0.0000 0.0000 4.2872 0.0000 0.0000 0.0000 6.4924" Properties=species:S:1:pos:R:3 pbc="T T T"
Zn 0.0000 2.1436 0.0000
Zn 2.1436 0.0000 0.0000
As 0.0000 0.0000 3.2462
I 2.1436 2.1436 3.2462
F 2.1436 2.1436 0.0000
```

=====

A plane-wave DFT calculation with PBE-GGA was carried out for a geometry-optimized MgIn2Se4 structure.

Properties
Formation energy without anion corrections, eV/f.u.: -4.854
Space group: No. 122

The structure in extended XYZ format:
```
14
Lattice="-4.7577 4.7577 4.3104 4.7577 -4.7577 4.3104 4.7577 4.7577 -4.3104" Properties=species:S:1:pos:R:3 pbc="T T T"
Mg 0.0000 0.0000 0.0000
Mg 0.0000 4.7577 2.1552
In 2.3788 3.6914 -1.0776
In 5.8239 2.3788 1.0776
In 2.3788 1.0663 3.2328
In -1.0663 2.3788 5.3880
Se 2.5082 -0.0270 0.8419
Se 7.0071 0.0270 0.8419
Se 4.7307 2.5082 -1.3133
Se 4.7847 -2.2495 3.4685
Se 0.0270 2.2495 2.9971
Se 4.7307 2.2495 3.4685
Se 2.2495 -0.0270 5.6237
Se 2.5082 4.7847 1.3133
```